# 1
LiGaPb, optimized geometry, DFT GGA-PBE; SG = Cmcm; M_tot = 0.00 μB per formula unit; calculated formation energy = -0.130 eV/atom
1.0
2.0742 -7.0584 0.0000
2.0742 7.0584 0.0000
0.0000 0.0000 4.5074
Pb Ga Li
2 2 2
Direct
0.9125 0.0875 0.2500
0.0875 0.9125 0.7500
0.2493 0.7507 0.2500
0.7507 0.2493 0.7500
0.5994 0.4006 0.2500
0.4006 0.5994 0.7500

---

# 2
Li2GaPdPb, optimized geometry, DFT GGA-PBE; SG = P4/mmm; M_tot = 0.00 μB per formula unit; calculated formation energy = 0.312 eV/atom
1.0
4.6525 0.0000 0.0000
0.0000 5.3867 0.0000
0.0000 0.0000 4.6525
Pb Ga Pd Li
1 1 1 2
Direct
0.0000 0.5000 0.0000
0.0000 0.0000 0.0000
0.5000 0.5000 0.5000
0.0000 0.0000 0.5000
0.5000 0.0000 0.0000